1.
Compound: TlTc2
Source: Alexandria via LeMat-Bulk
Functional: PBE
Structure: relaxed

**Calculated density**: 13.162 Mg/m³
**DFT formation energy**: 606 meV per atom
**Space-group type**: Cmcm
**Polymorph energy (0 for the lowest one)**: 243 meV/atom
**Total magnetization**: 0.000 μB/atom

Cell: 7.362 7.362 4.681 Å, 90.00 90.00 156.54°
Positions (direct):
Tl1 0.109 0.891 0.750
Tl2 0.891 0.109 0.250
Tc1 0.782 0.218 0.750
Tc2 0.439 0.561 0.750
Tc3 0.218 0.782 0.250
Tc4 0.561 0.439 0.250


2.
Compound: TlTc
Source: Alexandria via LeMat-Bulk
Functional: PBE
Structure: relaxed

**Calculated density**: 13.442 Mg/m³
**DFT formation energy**: 832 meV per atom
**Space-group type**: P-6m2
**Polymorph energy (0 for the lowest one)**: 523 meV/atom
**Total magnetization**: 0.026 μB/atom

Cell: 3.084 3.084 4.535 Å, 90.00 90.00 120.00°
Last column: magnetic moment on the atom in μB.
Positions (direct):
Tl1 0.667 0.333 0.000  0.00
Tc1 0.000 0.000 0.500  0.05


3.
Compound: TlTc2
Source: Alexandria via LeMat-Bulk
Functional: PBE
Structure: relaxed

**Calculated density**: 12.900 Mg/m³
**DFT formation energy**: 903 meV per atom
**Space-group type**: P6_3/mmc
**Polymorph energy (0 for the lowest one)**: 540 meV/atom
**Total magnetization**: 0.004 μB/atom

Cell: 4.701 4.701 5.387 Å, 90.00 90.00 120.00°
Positions (direct):
Tl1 0.667 0.333 0.250
Tl2 0.333 0.667 0.750
Tc1 0.000 0.000 0.000
Tc2 0.000 0.000 0.500
Tc3 0.333 0.667 0.250
Tc4 0.667 0.333 0.750


4.
Compound: TlTc
Source: Alexandria via LeMat-Bulk
Functional: PBE
Structure: relaxed

**Calculated density**: 13.402 Mg/m³
**DFT formation energy**: 855 meV per atom
**Space-group type**: R-3m
**Polymorph energy (0 for the lowest one)**: 546 meV/atom
**Total magnetization**: 0.217 μB/atom

Cell: 4.839 4.839 4.839 Å, 37.39 37.39 37.39°
Last column: magnetic moment on the atom in μB.
Positions (direct):
Tc1 0.000 0.000 0.000  0.42
Tl1 0.500 0.500 0.500  -0.01


5.
Compound: TlTc
Source: Alexandria via LeMat-Bulk
Functional: PBE
Structure: relaxed

**Calculated density**: 10.206 Mg/m³
**DFT formation energy**: 657 meV per atom
**Space-group type**: P6_3/mmc
**Polymorph energy (0 for the lowest one)**: 348 meV/atom
**Total magnetization**: 0.000 μB/atom

Cell: 4.111 4.111 13.447 Å, 90.00 90.00 120.00°
Positions (direct):
Tl1 0.333 0.667 0.093
Tl2 0.667 0.333 0.593
Tl3 0.667 0.333 0.907
Tl4 0.333 0.667 0.407
Tc1 0.000 0.000 0.250
Tc2 0.000 0.000 0.750
Tc3 0.333 0.667 0.750
Tc4 0.667 0.333 0.250


6.
Compound: Tl5Tc3
Source: Alexandria via LeMat-Bulk
Functional: PBE
Structure: relaxed

**Calculated density**: 11.549 Mg/m³
**DFT formation energy**: 690 meV per atom
**Space-group type**: Cmmm
**Polymorph energy (0 for the lowest one)**: 125 meV/atom
**Total magnetization**: 0.000 μB/atom

Cell: 7.657 7.657 3.270 Å, 90.00 90.00 99.31°
Positions (direct):
Tl1 0.000 0.000 0.000
Tl2 0.000 0.500 0.000
Tl3 0.500 0.000 0.000
Tl4 0.263 0.263 0.500
Tl5 0.737 0.737 0.500
Tc1 0.500 0.500 0.000
Tc2 0.668 0.332 0.500
Tc3 0.332 0.668 0.500


7.
Compound: Tl4Tc3
Source: Alexandria via LeMat-Bulk
Functional: PBE
Structure: relaxed

**Calculated density**: 12.939 Mg/m³
**DFT formation energy**: 691 meV per atom
**Space-group type**: P6/mmm
**Polymorph energy (0 for the lowest one)**: 157 meV/atom
**Total magnetization**: 0.000 μB/atom

Cell: 5.453 5.453 5.539 Å, 90.00 90.00 120.00°
Positions (direct):
Tl1 0.000 0.000 0.250
Tl2 0.000 0.000 0.750
Tl3 0.667 0.333 0.500
Tl4 0.333 0.667 0.500
Tc1 0.000 0.500 0.000
Tc2 0.500 0.500 0.000
Tc3 0.500 0.000 0.000


8.
Compound: Tl5Tc
Source: Alexandria via LeMat-Bulk
Functional: PBE
Structure: relaxed

**Calculated density**: 10.978 Mg/m³
**DFT formation energy**: 378 meV per atom
**Space-group type**: C2/m
**Polymorph energy (0 for the lowest one)**: 33 meV/atom
**Total magnetization**: 0.000 μB/atom

Cell: 7.500 7.500 10.241 Å, 47.79 47.79 23.86°
Positions (direct):
Tl1 0.735 0.735 0.629
Tl2 0.320 0.320 0.260
Tl3 0.421 0.421 0.834
Tl4 0.028 0.028 0.444
Tl5 0.635 0.635 0.055
Tc1 0.028 0.028 0.944


9.
Compound: TlTc
Source: Alexandria via LeMat-Bulk
Functional: PBE
Structure: relaxed

**Calculated density**: 13.189 Mg/m³
**DFT formation energy**: 916 meV per atom
**Space-group type**: P2_13
**Polymorph energy (0 for the lowest one)**: 607 meV/atom
**Total magnetization**: 0.393 μB/atom

Cell: 5.340 5.340 5.340 Å, 90.00 90.00 90.00°
Last column: magnetic moment on the atom in μB.
Positions (direct):
Tl1 0.404 0.904 0.596  -0.01
Tl2 0.096 0.096 0.096  -0.01
Tl3 0.596 0.404 0.904  -0.01
Tl4 0.904 0.596 0.404  -0.01
Tc1 0.107 0.607 0.893  0.74
Tc2 0.393 0.393 0.393  0.74
Tc3 0.893 0.107 0.607  0.74
Tc4 0.607 0.893 0.107  0.74


10.
Compound: TlTc4
Source: Alexandria via LeMat-Bulk
Functional: PBE
Structure: relaxed

**Calculated density**: 8.467 Mg/m³
**DFT formation energy**: 2947 meV per atom
**Space-group type**: Pm-3m
**Polymorph energy (0 for the lowest one)**: 2476 meV/atom
**Total magnetization**: 0.156 μB/atom

Cell: 4.890 4.890 4.890 Å, 90.00 90.00 90.00°
Last column: magnetic moment on the atom in μB.
Positions (direct):
Tl1 0.500 0.500 0.500  -0.01
Tc1 0.000 0.000 0.000  3.10
Tc2 0.500 0.000 0.500  -1.29
Tc3 0.000 0.500 0.500  -1.29
Tc4 0.500 0.500 0.000  -1.29


11.
Compound: Tl2Tc
Source: Alexandria via LeMat-Bulk
Functional: PBE
Structure: relaxed

**Calculated density**: 10.581 Mg/m³
**DFT formation energy**: 665 meV per atom
**Space-group type**: P4_2/mnm
**Polymorph energy (0 for the lowest one)**: 222 meV/atom
**Total magnetization**: 0.012 μB/atom

Cell: 2.959 7.327 7.336 Å, 90.00 90.00 90.00°
Positions (direct):
Tl1 0.000 0.266 0.733
Tl2 0.000 0.734 0.267
Tl3 0.500 0.766 0.767
Tl4 0.500 0.234 0.233
Tc1 0.000 0.000 0.000
Tc2 0.500 0.500 0.500


12.
Compound: Tl2Tc
Source: Alexandria via LeMat-Bulk
Functional: PBE
Structure: relaxed

**Calculated density**: 11.161 Mg/m³
**DFT formation energy**: 500 meV per atom
**Space-group type**: C2/m
**Polymorph energy (0 for the lowest one)**: 57 meV/atom
**Total magnetization**: 0.000 μB/atom

Cell: 6.251 6.251 8.330 Å, 62.22 62.22 31.99°
Positions (direct):
Tl1 0.478 0.478 0.712
Tl2 0.838 0.838 0.117
Tl3 0.522 0.522 0.288
Tl4 0.162 0.162 0.883
Tc1 0.205 0.205 0.458
Tc2 0.795 0.795 0.542


13.
Compound: TlTc
Source: Alexandria via LeMat-Bulk
Functional: PBE
Structure: relaxed

**Calculated density**: 12.173 Mg/m³
**DFT formation energy**: 583 meV per atom
**Space-group type**: Cm
**Polymorph energy (0 for the lowest one)**: 274 meV/atom
**Total magnetization**: 0.000 μB/atom

Cell: 6.088 6.088 6.957 Å, 90.24 90.24 28.68°
Positions (direct):
Tl1 0.041 0.041 0.941
Tl2 0.018 0.018 0.397
Tl3 0.785 0.785 0.050
Tc1 0.677 0.677 0.668
Tc2 0.276 0.276 0.412
Tc3 0.370 0.370 0.698


14.
Compound: TlTc
Source: Alexandria via LeMat-Bulk
Functional: PBE
Structure: relaxed

**Calculated density**: 11.834 Mg/m³
**DFT formation energy**: 666 meV per atom
**Space-group type**: C2/m
**Polymorph energy (0 for the lowest one)**: 357 meV/atom
**Total magnetization**: 0.000 μB/atom

Cell: 6.243 3.214 10.194 Å, 90.00 123.92 90.00°
Positions (direct):
Tl1 0.805 0.000 0.581
Tl2 0.195 0.000 0.419
Tl3 0.805 0.500 0.081
Tl4 0.195 0.500 0.919
Tc1 0.668 0.000 0.805
Tc2 0.332 0.000 0.195
Tc3 0.668 0.500 0.305
Tc4 0.332 0.500 0.695


15.
Compound: TlTc2
Source: Alexandria via LeMat-Bulk
Functional: PBE
Structure: relaxed

**Calculated density**: 11.310 Mg/m³
**DFT formation energy**: 413 meV per atom
**Space-group type**: Cmcm
**Polymorph energy (0 for the lowest one)**: 51 meV/atom
**Total magnetization**: 0.000 μB/atom

Cell: 9.529 9.529 4.295 Å, 90.00 90.00 162.45°
Positions (direct):
Tl1 0.311 0.689 0.750
Tl2 0.689 0.311 0.250
Tc1 0.578 0.422 0.750
Tc2 0.961 0.039 0.750
Tc3 0.039 0.961 0.250
Tc4 0.422 0.578 0.250


16.
Compound: Tl2Tc
Source: Alexandria via LeMat-Bulk
Functional: PBE
Structure: relaxed

**Calculated density**: 12.474 Mg/m³
**DFT formation energy**: 977 meV per atom
**Space-group type**: P6_3/mmc
**Polymorph energy (0 for the lowest one)**: 534 meV/atom
**Total magnetization**: 0.701 μB/atom

Cell: 5.099 5.099 5.991 Å, 90.00 90.00 120.00°
Last column: magnetic moment on the atom in μB.
Positions (direct):
Tl1 0.000 0.000 0.000  0.00
Tl2 0.000 0.000 0.500  0.00
Tl3 0.333 0.667 0.750  -0.03
Tl4 0.667 0.333 0.250  -0.03
Tc1 0.333 0.667 0.250  1.94
Tc2 0.667 0.333 0.750  1.94


17.
Compound: Tl2Tc
Source: Alexandria via LeMat-Bulk
Functional: PBE
Structure: relaxed

**Calculated density**: 13.173 Mg/m³
**DFT formation energy**: 764 meV per atom
**Space-group type**: Pnma
**Polymorph energy (0 for the lowest one)**: 321 meV/atom
**Total magnetization**: 0.001 μB/atom

Cell: 4.450 5.896 9.739 Å, 90.00 90.00 90.00°
Positions (direct):
Tl1 0.250 0.078 0.789
Tl2 0.750 0.422 0.289
Tl3 0.250 0.578 0.711
Tl4 0.750 0.922 0.211
Tl5 0.250 0.176 0.456
Tl6 0.750 0.324 0.956
Tl7 0.250 0.676 0.044
Tl8 0.750 0.824 0.544
Tc1 0.250 0.694 0.349
Tc2 0.750 0.806 0.849
Tc3 0.250 0.194 0.151
Tc4 0.750 0.306 0.651


18.
Compound: Tl2Tc
Source: Alexandria via LeMat-Bulk
Functional: PBE
Structure: relaxed

**Calculated density**: 13.032 Mg/m³
**DFT formation energy**: 773 meV per atom
**Space-group type**: P-62m
**Polymorph energy (0 for the lowest one)**: 330 meV/atom
**Total magnetization**: 0.000 μB/atom

Cell: 7.994 7.994 3.500 Å, 90.00 90.00 120.00°
Positions (direct):
Tl1 0.269 0.000 0.000
Tl2 0.000 0.269 0.000
Tl3 0.731 0.731 0.000
Tl4 0.593 0.000 0.500
Tl5 0.000 0.593 0.500
Tl6 0.407 0.407 0.500
Tc1 0.333 0.667 0.000
Tc2 0.667 0.333 0.000
Tc3 0.000 0.000 0.500


19.
Compound: TlTc
Source: Alexandria via LeMat-Bulk
Functional: PBE
Structure: relaxed

**Calculated density**: 12.287 Mg/m³
**DFT formation energy**: 309 meV per atom
**Space-group type**: P-1
**Polymorph energy (0 for the lowest one)**: 0 meV/atom
**Total magnetization**: 0.000 μB/atom

Cell: 3.061 3.061 8.983 Å, 99.81 99.75 89.85°
Positions (direct):
Tl1 0.090 0.588 0.673
Tl2 0.910 0.412 0.327
Tc1 0.289 0.790 0.079
Tc2 0.711 0.210 0.921


20.
Compound: TlTc2
Source: Alexandria via LeMat-Bulk
Functional: PBE
Structure: relaxed

**Calculated density**: 11.258 Mg/m³
**DFT formation energy**: 898 meV per atom
**Space-group type**: I4_1/amd
**Polymorph energy (0 for the lowest one)**: 535 meV/atom
**Total magnetization**: 0.000 μB/atom

Cell: 8.203 8.203 8.203 Å, 152.42 152.42 39.40°
Positions (direct):
Tl1 0.000 0.000 0.000
Tl2 0.750 0.250 0.500
Tc1 0.581 0.581 0.000
Tc2 0.169 0.669 0.500
Tc3 0.419 0.419 0.000
Tc4 0.331 0.831 0.500


21.
Compound: TlTc
Source: Alexandria via LeMat-Bulk
Functional: PBE
Structure: relaxed

**Calculated density**: 12.681 Mg/m³
**DFT formation energy**: 664 meV per atom
**Space-group type**: Cmcm
**Polymorph energy (0 for the lowest one)**: 355 meV/atom
**Total magnetization**: 0.000 μB/atom

Cell: 5.818 5.818 4.307 Å, 90.00 90.00 147.10°
Positions (direct):
Tc1 0.552 0.448 0.750
Tc2 0.448 0.552 0.250
Tl1 0.828 0.172 0.750
Tl2 0.172 0.828 0.250


22.
Compound: Tl5Tc4
Source: Alexandria via LeMat-Bulk
Functional: PBE
Structure: relaxed

**Calculated density**: 13.330 Mg/m³
**DFT formation energy**: 933 meV per atom
**Space-group type**: P6_3/mcm
**Polymorph energy (0 for the lowest one)**: 281 meV/atom
**Total magnetization**: 0.379 μB/atom

Cell: 8.415 8.415 5.744 Å, 90.00 90.00 120.00°
Last column: magnetic moment on the atom in μB.
Positions (direct):
Tl1 0.000 0.712 0.250  -0.01
Tl2 0.288 0.288 0.250  -0.01
Tl3 0.712 0.000 0.250  -0.01
Tl4 0.000 0.288 0.750  -0.01
Tl5 0.712 0.712 0.750  -0.01
Tl6 0.288 0.000 0.750  -0.01
Tl7 0.667 0.333 0.000  -0.03
Tl8 0.333 0.667 0.500  -0.03
Tl9 0.333 0.667 0.000  -0.03
Tl10 0.667 0.333 0.500  -0.03
Tc1 0.000 0.000 0.000  0.52
Tc2 0.000 0.000 0.500  0.52
Tc3 0.000 0.375 0.250  0.93
Tc4 0.625 0.625 0.250  0.93
Tc5 0.375 0.000 0.250  0.93
Tc6 0.000 0.625 0.750  0.93
Tc7 0.375 0.375 0.750  0.93
Tc8 0.625 0.000 0.750  0.93


23.
Compound: Tl5Tc
Source: Alexandria via LeMat-Bulk
Functional: PBE
Structure: relaxed

**Calculated density**: 11.567 Mg/m³
**DFT formation energy**: 476 meV per atom
**Space-group type**: Amm2
**Polymorph energy (0 for the lowest one)**: 131 meV/atom
**Total magnetization**: 0.279 μB/atom

Cell: 9.688 9.688 5.095 Å, 90.00 90.00 160.35°
Last column: magnetic moment on the atom in μB.
Positions (direct):
Tl1 0.360 0.640 0.000  -0.02
Tl2 0.646 0.354 0.000  -0.02
Tl3 0.459 0.541 0.500  -0.01
Tl4 0.769 0.231 0.500  0.00
Tl5 0.100 0.900 0.500  0.00
Tc1 0.000 0.000 0.000  1.63


24.
Compound: TlTc
Source: Alexandria via LeMat-Bulk
Functional: PBE
Structure: relaxed

**Calculated density**: 11.246 Mg/m³
**DFT formation energy**: 915 meV per atom
**Space-group type**: P6_3/mmc
**Polymorph energy (0 for the lowest one)**: 606 meV/atom
**Total magnetization**: 0.127 μB/atom

Cell: 4.645 4.645 4.779 Å, 90.00 90.00 120.00°
Last column: magnetic moment on the atom in μB.
Positions (direct):
Tc1 0.000 0.000 0.000  0.22
Tc2 0.000 0.000 0.500  0.22
Tl1 0.333 0.667 0.250  0.00
Tl2 0.667 0.333 0.750  0.00


25.
Compound: Tl2Tc
Source: Alexandria via LeMat-Bulk
Functional: PBE
Structure: relaxed

**Calculated density**: 13.344 Mg/m³
**DFT formation energy**: 799 meV per atom
**Space-group type**: Cmcm
**Polymorph energy (0 for the lowest one)**: 356 meV/atom
**Total magnetization**: 0.137 μB/atom

Cell: 7.708 7.708 4.587 Å, 90.00 90.00 152.43°
Last column: magnetic moment on the atom in μB.
Positions (direct):
Tl1 0.431 0.569 0.250  -0.01
Tl2 0.569 0.431 0.750  -0.01
Tl3 0.744 0.256 0.250  -0.01
Tl4 0.256 0.744 0.750  -0.01
Tc1 0.094 0.906 0.250  0.40
Tc2 0.906 0.094 0.750  0.40


26.
Compound: TlTc2
Source: Alexandria via LeMat-Bulk
Functional: PBE
Structure: relaxed

**Calculated density**: 12.351 Mg/m³
**DFT formation energy**: 634 meV per atom
**Space-group type**: Pnma
**Polymorph energy (0 for the lowest one)**: 271 meV/atom
**Total magnetization**: 0.000 μB/atom

Cell: 4.135 5.646 9.222 Å, 90.00 90.00 90.00°
Positions (direct):
Tl1 0.250 0.616 0.397
Tl2 0.750 0.884 0.897
Tl3 0.250 0.116 0.103
Tl4 0.750 0.384 0.603
Tc1 0.250 0.057 0.705
Tc2 0.750 0.443 0.205
Tc3 0.250 0.557 0.795
Tc4 0.750 0.943 0.295
Tc5 0.250 0.115 0.427
Tc6 0.750 0.385 0.927
Tc7 0.250 0.615 0.073
Tc8 0.750 0.885 0.573